# 1
Compound: Ac3OsPb
Source: Alexandria via LeMat-Bulk
Functional: GGA-PBE
Structure: optimized geometry

Results
The size of the total moment comes out at 0.00 μB per atom. The value obtained for the uncorrected energy is -28.2 eV/cell. The calculation puts the density of states at the Fermi level at 3.2 states/eV/cell. For the formation energy, the calculation gives -0.18 eV/atom.

abc: 5.755 5.755 5.755
angles: 90.00 90.00 90.00
Space group Pm-3m (No. 221)
Inequivalent atoms, fractional coordinates:
Ac: 0.000 0.000 0.500
Os: 0.000 0.000 0.000
Pb: 0.500 0.500 0.500



# 2
Compound: CsSb2SeS2
Source: Alexandria via LeMat-Bulk
Functional: GGA-PBE
Structure: optimized geometry

Results
The size of the total moment comes out at 0.00 μB per atom. The energy relative to the elements, uncorrected is -0.42 eV per atom. The value obtained for the uncorrected energy is -46.7 eV/cell. The calculation puts the density of states at the Fermi level at 2.6 states/eV/cell.

abc: 7.361 7.240 8.268
angles: 90.00 90.05 90.00
Space group P2_1/m (No. 11)
Inequivalent atoms, fractional coordinates:
Cs: 0.066 0.250 0.238
Sb: 0.444 0.008 0.757
Se: 0.363 0.750 0.513
S: 0.199 0.250 0.760
S: 0.372 0.750 0.978